Arrangement a

Computed, not measured: GaSi2Tc2 after structural relaxation at the PBE level of DFT.

Unit cell a=6.8891 b=6.8891 c=2.9866 alpha=90.00 beta=90.00 gamma=90.00
Last column: nearest neighbours and their distance in Å.
Space group P4/mbm (No. 127)
Unique sites:
Ga: 0.0000 0.0000 0.0000 [2 per cell]  4 Si 2.69, 2 Ga 2.99, 8 Tc 2.99
Si: 0.1336 0.3664 0.0000 [4 per cell]  6 Tc 2.51-2.52, 1 Si 2.60, 2 Ga 2.69
Tc: 0.1598 0.6598 0.5000 [4 per cell]  6 Si 2.51-2.52

Computed properties:
The calculation puts the calculated density at 7.542 g/cm3.

Arrangement b

Computed, not measured: GaSi2Tc2 after structural relaxation at the PBE level of DFT.

Unit cell a=3.3884 b=3.3884 c=12.7935 alpha=90.00 beta=90.00 gamma=90.00
Last column: nearest neighbours and their distance in Å.
Space group I4/mmm (No. 139)
Unique sites:
Ga: 0.0000 0.0000 0.0000 [2 per cell]  8 Tc 2.78
Si: 0.0000 0.5000 0.2500 [4 per cell]  4 Si 2.40, 4 Tc 2.46
Tc: 0.0000 0.0000 0.3897 [4 per cell]  4 Si 2.46

Computed properties:
The calculation puts the calculated density at 7.278 g/cm3.

Arrangement c

Computed, not measured: GaSi2Tc2 after structural relaxation at the PBE level of DFT.

Unit cell a=6.8173 b=6.8173 c=3.1145 alpha=90.00 beta=90.00 gamma=90.00
Last column: nearest neighbours and their distance in Å.
Space group P4/mbm (No. 127)
Unique sites:
Ga: 0.0000 0.0000 0.0000 [2 per cell]  4 Tc 2.58
Si: 0.1400 0.3600 0.5000 [4 per cell]  6 Tc 2.52-2.54, 1 Si 2.70
Tc: 0.1539 0.6539 0.0000 [4 per cell]  6 Si 2.52-2.54, 2 Ga 2.58

Computed properties:
The calculation puts the calculated density at 7.385 g/cm3.

arrangement b is favored, and the nearest alternative lies 0.019 eV/atom above it.

Arrangement a

Computed, not measured: GaSiTc after structural relaxation at the PBE level of DFT.

Unit cell a=3.4054 b=3.4054 c=7.6779 alpha=90.00 beta=90.00 gamma=90.00
Last column: nearest neighbours and their distance in Å.
Space group P4/nmm (No. 129, origin choice 2)
Unique sites:
Ga: 0.2500 0.2500 0.0997 [2 per cell]  5 Tc 2.73-2.82, 4 Ga 2.85
Si: 0.2500 0.7500 0.5000 [2 per cell]  4 Si 2.41, 4 Tc 2.47
Tc: 0.2500 0.2500 0.7329 [2 per cell]  4 Si 2.47, 4 Ga 2.73

Computed properties:
The calculation puts the calculated density at 7.304 g/cm3.

Arrangement b

Computed, not measured: GaSiTc after structural relaxation at the PBE level of DFT.

Unit cell a=2.6904 b=2.6904 c=13.6136 alpha=90.00 beta=90.00 gamma=90.00
Last column: nearest neighbours and their distance in Å.
Space group I4mm (No. 107)
Unique sites:
Ga: 0.0000 0.0000 0.0000 [2 per cell]  1 Si 2.49, 4 Tc 2.68, 4 Ga 2.69
Si: 0.0000 0.0000 0.8171 [2 per cell]  1 Tc 2.43, 1 Ga 2.49, 4 Si 2.69
Tc: 0.0000 0.0000 0.6388 [2 per cell]  1 Si 2.43, 4 Ga 2.68, 4 Tc 2.69

Computed properties:
The calculation puts the calculated density at 6.600 g/cm3.

Arrangement c

Computed, not measured: GaSiTc after structural relaxation at the PBE level of DFT.

Unit cell a=4.0600 b=4.0600 c=3.2218 alpha=90.00 beta=90.00 gamma=120.00
Last column: nearest neighbours and their distance in Å.
Space group P-6m2 (No. 187)
Unique sites:
Ga: 0.0000 0.0000 0.0000 [1 per cell]  6 Tc 2.84, 6 Si 2.84
Si: 0.6667 0.3333 0.5000 [1 per cell]  3 Tc 2.34
Tc: 0.3333 0.6667 0.5000 [1 per cell]  3 Si 2.34

Computed properties:
The calculation puts the calculated density at 7.070 g/cm3.

arrangement a is favored, and the nearest alternative lies 0.333 eV/atom above it.